# 1
Density functional theory data (PBE) for ReGeRu2 after structural relaxation.

```
8
Lattice="5.573 0.000 0.000 0.000 5.573 0.000 2.786 2.786 5.446" Properties=species:S:1:pos:R:3 pbc="T T T"
Ru 6.966 6.983 4.084
Ru 4.180 4.163 4.084
Ru 1.376 4.180 1.361
Ru 4.197 1.393 1.361
Ge 2.786 5.573 2.723
Ge 2.786 2.786 0.000
Re 5.573 2.786 2.723
Re 0.000 0.000 0.000
```

Summary:
DOS(E_F)	0.86	states/eV per atom
space group	I-42d (122)
electronic total energy	-0.2968	Ha/atom
total magnetic moment	0.0	Bohr magnetons per cell


# 2
Density functional theory data (PBE) for FeCu7Pd4 after structural relaxation.

```
12
Lattice="4.477 1.168 0.335 3.119 6.267 1.701 -1.297 -0.236 6.672" Properties=species:S:1:pos:R:3 pbc="T T T"
Cu 3.751 3.367 7.416
Cu 2.238 0.584 0.167
Cu 2.033 4.852 3.641
Cu 4.267 2.348 5.067
Cu 3.607 4.905 5.621
Cu 2.693 2.294 3.087
Cu 2.548 3.833 1.291
Pd 5.523 6.549 6.366
Pd 1.707 2.778 5.569
Pd 4.592 4.422 3.139
Pd 0.777 0.651 2.342
Fe 0.000 0.000 0.000
```

Summary:
DOS(E_F)	0.51	states/eV per atom
space group	P-1 (2)
electronic total energy	-0.1756	Ha/atom
total magnetic moment	3.6	Bohr magnetons per cell